The following is a DFT calculation (PBE) of a relaxed Ac2TeN crystal.

Results
The calculation puts the spin magnetization at 0.00 Bohr magnetons per cell. As for the final energy: -5.585 eV/atom. The value obtained for the density of states at the Fermi level is 2.066 states/eV per cell.

a = 3.6284 Å, b = 3.6284 Å, c = 7.7308 Å
α = 90.00°, β = 90.00°, γ = 90.00°
With the nearest neighbours (Å) after each atom.
Space group P4/mmm (No. 123)
Asymmetric unit:
Ac  0.0000  0.0000  0.2094  4 N 3.03, 1 Ac 3.24
Te  0.5000  0.5000  0.5000  8 Ac 3.41, 4 Te 3.63
N  0.5000  0.5000  0.0000  8 Ac 3.03